Li7Mn2Co3O12 | the Alexandria database | PBE with a Hubbard U | relaxed; crystal system = triclinic; total magnetic moment = 10.0 μB/f.u.; density = 4.18 g/cm3; symmetry = No. 1; polymorph energy (0 for the lowest one) = 37 meV/atom
1.0
2.913 0.000 0.000
0.087 5.062 0.000
0.416 0.401 14.194
Li Mn Co O
7 2 3 12
Cartesian
0.000 0.000 0.000
0.229 0.262 7.082
0.484 3.824 11.930
1.604 1.039 4.715
1.533 2.670 0.041
1.909 4.534 9.474
2.964 1.785 2.369
1.866 1.219 11.897
1.759 2.792 7.109
0.215 3.594 4.738
0.411 2.035 9.494
1.606 4.390 2.304
0.414 2.035 12.878
0.405 0.536 10.715
0.285 5.100 3.575
0.470 3.595 8.317
1.678 4.322 5.856
1.500 0.793 1.354
1.946 4.759 12.909
1.868 2.742 10.566
1.671 2.916 3.659
1.862 1.280 8.403
2.942 3.485 1.324
3.050 2.000 5.912